Record 1
VASP calculation (PBE) on Tb5Al4Cu after structural relaxation.

abc: 3.472 3.472 19.243
angles: 90.00 90.00 90.00
Positions (direct):
Al: 0.000 0.000 0.398
Cu: 0.000 0.000 0.000
Al: 0.000 0.000 0.807
Al: 0.000 0.000 0.602
Tb: 0.500 0.500 0.908
Tb: 0.500 0.500 0.704
Tb: 0.500 0.500 0.296
Al: 0.000 0.000 0.193
Tb: 0.500 0.500 0.092
Tb: 0.500 0.500 0.500

## Properties
**Symmetry**: P4/mmm, No. 123
**Density of states at the Fermi level**: 5.40 states/eV per cell
**E**: -45.80 eV for the cell shown

---

Record 2
VASP calculation (PBE) on Tb3Al7Cu4 after structural relaxation.

abc: 4.190 8.056 8.218
angles: 71.50 75.23 74.92
Positions (direct):
Al: 0.844 0.391 0.921
Cu: 0.659 0.460 0.223
Al: 0.504 0.782 0.209
Al: 0.496 0.218 0.791
Tb: 0.000 0.500 0.500
Tb: 0.310 0.188 0.193
Cu: 0.341 0.540 0.777
Al: 0.156 0.609 0.079
Al: 0.675 0.175 0.474
Tb: 0.690 0.812 0.807
Cu: 0.124 0.097 0.655
Cu: 0.876 0.903 0.345
Al: 0.325 0.825 0.526
Al: 0.000 0.000 0.000

## Properties
**Symmetry**: C2/m, No. 12
**Density of states at the Fermi level**: 5.06 states/eV per cell
**E**: -62.77 eV for the cell shown

---

Record 3
VASP calculation (PBE) on TbAlCu6 after structural relaxation.

abc: 4.883 4.883 4.883
angles: 90.00 90.00 90.00
Positions (direct):
Cu: 0.760 0.000 0.500
Tb: 0.500 0.500 0.500
Cu: 0.500 0.240 0.000
Cu: 0.240 0.000 0.500
Cu: 0.500 0.760 0.000
Cu: 0.000 0.500 0.240
Al: 0.000 0.000 0.000
Cu: 0.000 0.500 0.760

## Properties
**Symmetry**: Pm-3, No. 200
**Density of states at the Fermi level**: 2.32 states/eV per cell
**E**: -33.28 eV for the cell shown

---

Record 4
VASP calculation (PBE) on TbAl6Cu6 after structural relaxation.

abc: 6.632 6.632 6.632
angles: 134.85 99.07 97.88
Positions (direct):
Cu: 0.230 0.500 0.730
Cu: 0.000 0.500 0.000
Cu: 0.770 0.500 0.270
Al: 0.202 0.702 0.500
Cu: 0.500 0.500 0.500
Cu: 0.000 0.000 0.500
Al: 0.798 0.298 0.500
Al: 0.653 0.000 0.653
Al: 0.347 0.000 0.347
Cu: 0.500 0.000 0.000
Al: 0.349 0.349 0.000
Al: 0.651 0.651 0.000
Tb: 0.000 0.000 0.000

## Properties
**Symmetry**: Immm, No. 71
**Density of states at the Fermi level**: 3.28 states/eV per cell
**E**: -56.35 eV for the cell shown

---

Record 5
VASP calculation (PBE) on Tb3Al4Cu2 after structural relaxation.

abc: 4.465 5.743 8.481
angles: 110.96 90.00 112.88
Positions (direct):
Tb: 0.324 0.648 0.350
Al: 0.972 0.944 0.639
Al: 0.731 0.462 0.074
Cu: 0.593 0.186 0.264
Cu: 0.407 0.814 0.736
Tb: 0.000 0.000 0.000
Tb: 0.676 0.352 0.650
Al: 0.028 0.056 0.361
Al: 0.269 0.538 0.926

## Properties
**Symmetry**: C2/m, No. 12
**Density of states at the Fermi level**: 4.86 states/eV per cell
**E**: -40.99 eV for the cell shown

---

Record 6
VASP calculation (PBE) on Tb2Al5Cu5 after structural relaxation.

abc: 4.127 5.288 9.026
angles: 90.00 90.00 90.00
Positions (direct):
Tb: 0.000 0.000 0.500
Cu: 0.000 0.500 0.667
Tb: 0.000 0.500 0.000
Cu: 0.500 0.000 0.000
Cu: 0.000 0.000 0.166
Al: 0.500 0.500 0.500
Al: 0.500 0.751 0.239
Al: 0.500 0.751 0.761
Cu: 0.000 0.000 0.834
Al: 0.500 0.249 0.239
Cu: 0.000 0.500 0.333
Al: 0.500 0.249 0.761

## Properties
**Symmetry**: Pmmm, No. 47
**Density of states at the Fermi level**: 2.99 states/eV per cell
**E**: -53.77 eV for the cell shown

---

Record 7
VASP calculation (PBE) on TbAl4Cu2 after structural relaxation.

abc: 4.192 6.601 16.893
angles: 90.00 90.00 90.00
Positions (direct):
Al: 0.250 0.220 0.193
Cu: 0.250 0.524 0.280
Tb: 0.750 0.510 0.138
Al: 0.750 0.321 0.314
Al: 0.250 0.495 0.428
Cu: 0.750 0.476 0.720
Tb: 0.750 0.990 0.638
Cu: 0.750 0.024 0.220
Al: 0.250 0.280 0.693
Cu: 0.250 0.752 0.539
Cu: 0.750 0.252 0.961
Al: 0.750 0.780 0.807
Al: 0.250 0.821 0.186
Tb: 0.250 0.010 0.362
Cu: 0.750 0.248 0.461
Al: 0.750 0.720 0.307
Al: 0.750 0.833 0.468
Tb: 0.250 0.490 0.862
Al: 0.250 0.333 0.032
Al: 0.750 0.179 0.814
Al: 0.250 0.167 0.532
Cu: 0.250 0.748 0.039
Cu: 0.250 0.976 0.780
Al: 0.750 0.505 0.572
Al: 0.750 0.667 0.968
Al: 0.250 0.005 0.928
Al: 0.750 0.995 0.072
Al: 0.250 0.679 0.686

## Properties
**Symmetry**: Pnma, No. 62
**Density of states at the Fermi level**: 9.52 states/eV per cell
**ΔE to the lowest computed polymorph**: 0 meV/atom

---

Record 8
VASP calculation (PBE) on TbAl6Cu12 after structural relaxation.

abc: 6.824 6.824 6.824
angles: 104.21 104.21 104.21
Positions (direct):
Al: 0.715 0.715 0.299
Tb: 0.000 0.000 0.000
Cu: 0.375 0.375 0.122
Cu: 0.878 0.625 0.625
Cu: 0.500 0.888 0.112
Cu: 0.625 0.878 0.625
Al: 0.715 0.299 0.715
Cu: 0.625 0.625 0.878
Al: 0.701 0.285 0.285
Al: 0.299 0.715 0.715
Cu: 0.888 0.112 0.500
Cu: 0.500 0.112 0.888
Cu: 0.112 0.500 0.888
Cu: 0.112 0.888 0.500
Cu: 0.122 0.375 0.375
Cu: 0.375 0.122 0.375
Al: 0.285 0.701 0.285
Cu: 0.888 0.500 0.112
Al: 0.285 0.285 0.701

## Properties
**Symmetry**: R-3m, No. 166
**Density of states at the Fermi level**: 3.46 states/eV per cell
**E**: -77.99 eV for the cell shown

---

Record 9
VASP calculation (PBE) on Tb2AlCu after structural relaxation.

abc: 3.426 3.426 10.342
angles: 80.47 80.47 60.00
Positions (direct):
Tb: 0.091 0.091 0.726
Cu: 0.000 0.000 0.000
Al: 0.500 0.500 0.500
Tb: 0.909 0.909 0.274

## Properties
**Symmetry**: R-3m, No. 166
**Density of states at the Fermi level**: 2.60 states/eV per cell
**E**: -15.80 eV for the cell shown

---

Record 10
VASP calculation (PBE) on TbAlCu2 after structural relaxation.

abc: 5.588 6.576 7.699
angles: 90.00 90.00 90.00
Positions (direct):
Cu: 0.901 0.444 0.175
Al: 0.657 0.250 0.386
Cu: 0.401 0.556 0.325
Cu: 0.599 0.056 0.675
Al: 0.343 0.750 0.614
Tb: 0.344 0.250 0.049
Cu: 0.599 0.444 0.675
Tb: 0.656 0.750 0.951
Tb: 0.156 0.250 0.549
Cu: 0.099 0.556 0.825
Cu: 0.401 0.944 0.325
Al: 0.157 0.750 0.114
Cu: 0.901 0.056 0.175
Cu: 0.099 0.944 0.825
Al: 0.843 0.250 0.886
Tb: 0.844 0.750 0.451

## Properties
**Symmetry**: Pnma, No. 62
**Density of states at the Fermi level**: 12.74 states/eV per cell
**E**: -71.40 eV for the cell shown

---

Record 11
VASP calculation (PBE) on Tb2Al5Cu3 after structural relaxation.

abc: 4.199 4.199 10.345
angles: 90.00 90.00 90.00
Positions (direct):
Al: 0.500 0.500 0.500
Al: 0.000 0.000 0.000
Cu: 0.000 0.000 0.500
Tb: 0.500 0.000 0.264
Al: 0.000 0.500 0.158
Cu: 0.500 0.000 0.618
Cu: 0.000 0.500 0.382
Tb: 0.000 0.500 0.736
Al: 0.500 0.500 0.000
Al: 0.500 0.000 0.842

## Properties
**Symmetry**: P-4m2, No. 115
**Density of states at the Fermi level**: 5.75 states/eV per cell
**ΔE to the lowest computed polymorph**: 116 meV/atom

---

Record 12
VASP calculation (PBE) on Tb4Al3Cu after structural relaxation.

abc: 3.680 4.490 11.601
angles: 90.00 90.00 90.00
Positions (direct):
Tb: 0.500 0.000 0.657
Tb: 0.500 0.500 0.339
Al: 0.000 0.000 0.432
Tb: 0.000 0.500 0.857
Al: 0.500 0.000 0.936
Cu: 0.500 0.500 0.065
Tb: 0.000 0.000 0.148
Al: 0.000 0.500 0.566

## Properties
**Symmetry**: Pmm2, No. 25
**Density of states at the Fermi level**: 8.03 states/eV per cell
**ΔE to the lowest computed polymorph**: 24 meV/atom